LiHfTaOs: optimized geometry, PBE-GGA.

a = 4.535 Å, b = 4.535 Å, c = 4.535 Å
α = 60.00°, β = 60.00°, γ = 60.00°
Positions (direct):
Li 0.000 0.000 0.000
Hf 0.750 0.750 0.750
Ta 0.250 0.250 0.250
Os 0.500 0.500 0.500

Final energy ... -35.863 eV/cell
Energy above the lowest structure with this stoichiometry ... 0.0000 eV/atom
Symmetry ... No. 216
Crystal system ... cubic